DFT (PBE) results for a geometry-optimized InGeH3 structure. Values from VASP.

Results
ΔE to the lowest computed polymorph = 0 meV/atom
spin magnetization = 0.00 Bohr magnetons per cell

Geometry as Quantum ESPRESSO input:
```
&SYSTEM
  ibrav = 0, nat = 5, ntyp = 3
/
ATOMIC_SPECIES
H 1.01 H.upf
Ge 72.64 Ge.upf
In 114.82 In.upf
ATOMIC_POSITIONS crystal
H 0.0000 0.5000 0.0000
H 0.0000 0.0000 0.5000
H 0.5000 0.0000 0.0000
Ge 0.0000 0.0000 0.0000
In 0.5000 0.5000 0.5000
CELL_PARAMETERS angstrom
-0.9475 -2.1877 -3.1552
-2.2677 -2.3036 2.2782
-3.0982 2.3551 -0.7025
```